No. 1
DFT (PBE) results for crystalline LiCd4In15 at its relaxed geometry.

The structure belongs to space group P4/mmm (No. 123); the cell edges are 4.696, 4.696 and 23.269 Å and the angles 90.00°, 90.00° and 90.00°. The inequivalent atoms are Li at (0.000, 0.000, 0.000), Cd at (0.000, 0.000, 0.192), Cd at (0.000, 0.000, 0.398), In at (0.000, 0.500, 0.094), In at (0.000, 0.500, 0.296), In at (0.000, 0.500, 0.500), In at (0.500, 0.500, 0.000), In at (0.500, 0.500, 0.196) and In at (0.500, 0.500, 0.399).

Its volume is 25.65 A^3/atom. For the electronic total energy, the calculation gives -2.3401 eV/atom.

No. 2
DFT (PBE) results for crystalline Ta2MoCl at its relaxed geometry.

The structure belongs to space group I-42d (No. 122); the cell edges are 3.944, 3.944 and 19.034 Å and the angles 90.00°, 90.00° and 90.00°. The inequivalent atoms are Ta at (0.246, 0.250, 0.125), Mo at (0.000, 0.000, 0.000) and Cl at (0.000, 0.000, 0.500).

Its volume is 18.50 A^3/atom. The value obtained for the energy above the most stable polymorph in this dataset is 948.4 meV/atom. The calculation puts the uncorrected formation energy at 1.03 eV/atom.

No. 3
DFT (PBE) results for crystalline TlNi4Cl at its relaxed geometry.

The structure belongs to space group F-43m (No. 216); the cell edges are 7.112, 7.112 and 7.112 Å and the angles 90.00°, 90.00° and 90.00°. The inequivalent atoms are Tl at (0.000, 0.000, 0.000), Ni at (0.125, 0.125, 0.375) and Cl at (0.250, 0.250, 0.750).

Its volume is 14.99 A^3/atom. The calculation puts the uncorrected formation energy at 0.48 eV/atom.

No. 4
DFT (PBE) results for crystalline NpSiIr2 at its relaxed geometry.

The structure belongs to space group P4/mmm (No. 123); the cell edges are 2.913, 2.913 and 7.487 Å and the angles 90.00°, 90.00° and 90.00°. The inequivalent atoms are Np at (0.000, 0.000, 0.000), Si at (0.000, 0.000, 0.500) and Ir at (0.500, 0.500, 0.305).

Its volume is 15.88 A^3/atom. The calculation puts the uncorrected formation energy at -0.45 eV/atom.

No. 5
DFT (PBE) results for crystalline Cr2Re2W at its relaxed geometry.

The structure belongs to space group P-1 (No. 2); the cell edges are 4.967, 4.970 and 6.851 Å and the angles 69.45°, 80.66° and 63.84°. The inequivalent atoms are Cr at (0.206, 0.078, 0.414), Cr at (0.265, 0.223, 0.013), Re at (0.159, 0.738, 0.196), Re at (0.291, 0.400, 0.598) and W at (0.337, 0.755, 0.799).

Its volume is 14.21 A^3/atom. For the electronic total energy, the calculation gives -11.2455 eV/atom.

No. 6
DFT (PBE) results for crystalline AcPrIr4 at its relaxed geometry.

The structure belongs to space group F-43m (No. 216); the cell edges are 7.801, 7.801 and 7.801 Å and the angles 90.00°, 90.00° and 90.00°. The inequivalent atoms are Ac at (0.000, 0.000, 0.000), Pr at (0.250, 0.250, 0.750) and Ir at (0.125, 0.125, 0.375).

Its volume is 19.78 A^3/atom. For the electronic total energy, the calculation gives -7.9901 eV/atom.

No. 7
DFT (PBE) results for crystalline Pm5GaSi3 at its relaxed geometry.

The structure belongs to space group P6_3/mcm (No. 193); the cell edges are 9.0214, 9.0214 and 6.4439 Å and the angles 90.00°, 90.00° and 120.00°. The inequivalent atoms are Pm at (0.0000, 0.2759, 0.2500), Pm at (0.3333, 0.6667, 0.0000), Ga at (0.0000, 0.0000, 0.0000) and Si at (0.0000, 0.3758, 0.7500).

Its volume is 25.23 A^3/atom. The calculation puts the uncorrected formation energy at -0.55 eV/atom.

No. 8
DFT (PBE) results for crystalline NaBi3Cl2O4 at its relaxed geometry.

The structure belongs to space group Amm2 (No. 38); the cell edges are 5.564, 5.573 and 12.430 Å and the angles 90.00°, 90.00° and 90.00°. The inequivalent atoms are Na at (0.000, 0.000, 0.000), Bi at (0.000, 0.000, 0.692), Bi at (0.500, 0.000, 0.192), Bi at (0.500, 0.000, 0.508), Cl at (0.000, 0.000, 0.342), Cl at (0.500, 0.000, 0.855) and O at (0.257, 0.242, 0.602).

Its volume is 19.27 A^3/atom. The calculation puts the uncorrected formation energy at -1.37 eV/atom.

No. 9
DFT (PBE) results for crystalline MoOs3Se at its relaxed geometry.

The structure belongs to space group Pm-3m (No. 221); the cell edges are 4.713, 4.713 and 4.713 Å and the angles 90.00°, 90.00° and 90.00°. The inequivalent atoms are Mo at (0.000, 0.000, 0.000), Os at (0.000, 0.000, 0.500) and Se at (0.500, 0.500, 0.500).

Its volume is 20.93 A^3/atom. The value obtained for the energy above the most stable polymorph in this dataset is 507.8 meV/atom. The calculation puts the uncorrected formation energy at 2.43 eV/atom.

No. 10
DFT (PBE) results for crystalline Tm2CoS at its relaxed geometry.

The structure belongs to space group R-3m (No. 166, hexagonal axes); the cell edges are 3.7012, 3.7012 and 20.5810 Å and the angles 90.00°, 90.00° and 120.00°. The inequivalent atoms are Tm at (0.0000, 0.0000, 0.2461), Co at (0.0000, 0.0000, 0.5000) and S at (0.0000, 0.0000, 0.0000).

Its volume is 20.35 A^3/atom. The value obtained for the energy above the most stable polymorph in this dataset is 166.7 meV/atom. The calculation puts the uncorrected formation energy at -0.94 eV/atom.

No. 11
DFT (PBE) results for crystalline Na4SbPb at its relaxed geometry.

The structure belongs to space group Cmcm (No. 63); the cell edges are 6.761, 18.406 and 5.256 Å and the angles 90.00°, 90.00° and 90.00°. The inequivalent atoms are Na at (0.246, 0.042, 0.250), Na at (0.248, 0.208, 0.250), Sb at (0.000, 0.125, 0.750) and Pb at (0.000, 0.376, 0.250).

Its volume is 27.25 A^3/atom. The calculation puts the uncorrected formation energy at -0.24 eV/atom.

No. 12
DFT (PBE) results for crystalline ThCo2 at its relaxed geometry.

The structure belongs to space group C2/m (No. 12); the cell edges are 5.010, 5.017 and 4.658 Å and the angles 90.00°, 121.72° and 90.00°. The inequivalent atoms are Th at (0.000, 0.000, 0.000) and Co at (0.184, 0.500, 0.367).

Its volume is 16.60 A^3/atom. For the electronic total energy, the calculation gives -7.1167 eV/atom.

No. 13
DFT (PBE) results for crystalline Pa4POsS2 at its relaxed geometry.

The structure belongs to space group P2/m (No. 10); the cell edges are 6.881, 3.859 and 6.959 Å and the angles 90.00°, 108.20° and 90.00°. The inequivalent atoms are Pa at (0.243, 0.000, 0.244), Pa at (0.247, 0.500, 0.752), P at (0.000, 0.000, 0.500), Os at (0.000, 0.500, 0.000), S at (0.500, 0.000, 0.000) and S at (0.500, 0.500, 0.500).

Its volume is 21.95 A^3/atom. The calculation puts the uncorrected formation energy at -1.17 eV/atom.